(1)
Material: Ac2PbN
Method: DFT, GGA-PBE
State: optimized geometry

The structure in POSCAR format:
```
Ac2PbN
1.0
2.668 1.540 7.716
-2.668 1.540 7.716
0.000 -3.080 7.716
Ac Pb N
2 1 1
Direct
0.094 0.094 0.094 Ac
0.906 0.906 0.906 Ac
0.500 0.500 0.500 Pb
0.000 0.000 0.000 N
```

Results
- distance to the lowest polymorph of the same formula (eV/atom) = 0.617
- crystal system = trigonal
- N(E_F) (states/eV/atom) = 1.59
- energy relative to the elements, uncorrected (meV per atom) = -198.9
- electronic total energy (eV/atom) = -5.262

(2)
Material: Pr6Nd2Al
Method: DFT, GGA-PBE
State: optimized geometry

The structure in POSCAR format:
```
Pr6Nd2Al
1.0
10.295 0.000 0.000
0.000 10.651 0.000
0.000 0.000 5.613
Pr Nd Al
12 4 2
Direct
0.023 0.192 0.000 Pr
0.132 0.607 0.500 Pr
0.190 0.935 0.500 Pr
0.310 0.435 0.000 Pr
0.368 0.107 0.000 Pr
0.477 0.692 0.500 Pr
0.523 0.308 0.500 Pr
0.632 0.893 0.000 Pr
0.690 0.565 0.000 Pr
0.810 0.065 0.500 Pr
0.868 0.393 0.500 Pr
0.977 0.808 0.000 Pr
0.199 0.259 0.500 Nd
0.301 0.759 0.000 Nd
0.699 0.241 0.000 Nd
0.801 0.741 0.500 Nd
0.000 0.500 0.000 Al
0.500 0.000 0.500 Al
```

Results
- crystal system = orthorhombic
- N(E_F) (states/eV/atom) = 1.30
- electronic total energy (eV/atom) = -4.669
- formation energy from the elements (kJ per mole of atoms) = -0.7

(3)
Material: Ta2MoPb
Method: DFT, GGA-PBE
State: optimized geometry

The structure in POSCAR format:
```
Ta2MoPb
1.0
-1.736 2.332 4.647
1.736 -2.332 4.647
1.736 2.332 -4.647
Ta Mo Pb
2 1 1
Direct
0.000 0.000 0.000 Ta
0.755 0.255 0.500 Ta
0.229 0.729 0.500 Mo
0.488 0.488 0.000 Pb
```

Results
- crystal system = orthorhombic
- N(E_F) (states/eV/atom) = 0.45
- electronic total energy (eV/atom) = -9.249
- formation energy from the elements (kJ per mole of atoms) = 30.1

(4)
Material: KAs2Cl
Method: DFT, GGA-PBE
State: optimized geometry

The structure in POSCAR format:
```
KAs2Cl
1.0
-1.853 3.471 4.778
1.853 -3.471 4.778
1.853 3.471 -4.778
K As Cl
1 2 1
Direct
0.000 0.000 0.000 K
0.516 0.516 0.000 As
0.681 0.181 0.500 As
0.242 0.742 0.500 Cl
```

Results
- distance to the lowest polymorph of the same formula (eV/atom) = 0.205
- crystal system = orthorhombic
- N(E_F) (states/eV/atom) = 0.61
- energy relative to the elements, uncorrected (meV per atom) = -495.9
- electronic total energy (eV/atom) = -3.557

(5)
Material: Ta2CdHg
Method: DFT, GGA-PBE
State: optimized geometry

The structure in POSCAR format:
```
Ta2CdHg
1.0
3.514 0.000 0.000
0.000 3.514 0.000
0.000 0.000 6.479
Ta Cd Hg
2 1 1
Direct
0.000 0.000 0.000 Ta
0.500 0.500 0.190 Ta
0.000 0.000 0.465 Cd
0.500 0.500 0.720 Hg
```

Results
- distance to the lowest polymorph of the same formula (eV/atom) = 0.151
- crystal system = tetragonal
- N(E_F) (states/eV/atom) = 0.64
- electronic total energy (eV/atom) = -5.912
- formation energy from the elements (kJ per mole of atoms) = 30.7

(6)
Material: TiNbCoBr
Method: DFT, GGA-PBE
State: optimized geometry

The structure in POSCAR format:
```
TiNbCoBr
1.0
3.039 0.000 0.000
0.206 4.449 0.000
0.686 0.767 4.781
Ti Nb Co Br
1 1 1 1
Direct
0.000 0.000 0.000 Ti
0.767 0.639 0.596 Nb
0.421 0.545 0.099 Co
0.234 0.141 0.465 Br
```

Results
- distance to the lowest polymorph of the same formula (eV/atom) = 0.393
- crystal system = triclinic
- N(E_F) (states/eV/atom) = 0.90
- energy relative to the elements, uncorrected (meV per atom) = 188.4
- electronic total energy (eV/atom) = -6.497

(7)
Material: CdHgRu
Method: DFT, GGA-PBE
State: optimized geometry

The structure in POSCAR format:
```
CdHgRu
1.0
2.999 0.000 0.000
-1.500 2.598 0.000
0.000 0.000 7.255
Cd Hg Ru
1 1 1
Direct
0.000 0.000 0.000 Cd
0.667 0.333 0.369 Hg
0.333 0.667 0.688 Ru
```

Results
- distance to the lowest polymorph of the same formula (eV/atom) = 0.022
- crystal system = trigonal
- N(E_F) (states/eV/atom) = 0.63
- electronic total energy (eV/atom) = -3.058
- formation energy from the elements (kJ per mole of atoms) = 42.5

(8)
Material: TcSbAs2
Method: DFT, GGA-PBE
State: optimized geometry

The structure in POSCAR format:
```
TcSbAs2
1.0
3.194 0.000 0.000
0.000 2.438 5.413
0.000 -2.438 5.413
Tc Sb As
1 1 2
Direct
0.000 0.000 0.000 Tc
0.500 0.794 0.794 Sb
0.000 0.505 0.505 As
0.500 0.178 0.178 As
```

Results
- crystal system = orthorhombic
- N(E_F) (states/eV/atom) = 0.53
- energy relative to the elements, uncorrected (meV per atom) = 7.2
- electronic total energy (eV/atom) = -5.940

(9)
Material: Ba4RhCl
Method: DFT, GGA-PBE
State: optimized geometry

The structure in POSCAR format:
```
Ba4RhCl
1.0
0.000 4.976 4.976
4.976 0.000 4.976
4.976 4.976 0.000
Ba Rh Cl
4 1 1
Direct
0.376 0.376 0.376 Ba
0.376 0.376 0.873 Ba
0.376 0.873 0.376 Ba
0.873 0.376 0.376 Ba
0.750 0.750 0.750 Rh
0.000 0.000 0.000 Cl
```

Results
- distance to the lowest polymorph of the same formula (eV/atom) = 1.130
- crystal system = cubic
- N(E_F) (states/eV/atom) = 1.25
- energy relative to the elements, uncorrected (meV per atom) = 412.0
- electronic total energy (eV/atom) = -2.403

(10)
Material: MgCu2Br
Method: DFT, GGA-PBE
State: optimized geometry

The structure in POSCAR format:
```
MgCu2Br
1.0
-1.906 1.906 4.889
1.906 -1.906 4.889
1.906 1.906 -4.889
Mg Cu Br
1 2 1
Direct
0.000 0.000 0.000 Mg
0.500 0.500 0.000 Cu
0.750 0.250 0.500 Cu
0.250 0.750 0.500 Br
```

Results
- distance to the lowest polymorph of the same formula (eV/atom) = 0.367
- crystal system = tetragonal
- N(E_F) (states/eV/atom) = 0.33
- energy relative to the elements, uncorrected (meV per atom) = 227.1
- electronic total energy (eV/atom) = -2.638

(11)
Material: SbRh2Pb
Method: DFT, GGA-PBE
State: optimized geometry

The structure in POSCAR format:
```
SbRh2Pb
1.0
1.726 0.996 8.337
-1.726 0.996 8.337
0.000 -1.993 8.337
Sb Rh Pb
1 2 1
Direct
0.000 0.000 0.000 Sb
0.269 0.269 0.269 Rh
0.522 0.522 0.522 Rh
0.780 0.780 0.780 Pb
```

Results
- distance to the lowest polymorph of the same formula (eV/atom) = 0.514
- crystal system = trigonal
- N(E_F) (states/eV/atom) = 0.99
- energy relative to the elements, uncorrected (meV per atom) = 187.1
- electronic total energy (eV/atom) = -5.446

(12)
Material: Ti6Nb2In
Method: DFT, GGA-PBE
State: optimized geometry

The structure in POSCAR format:
```
Ti6Nb2In
1.0
-4.095 4.312 4.864
4.095 -4.312 4.864
4.095 4.312 -4.864
Ti Nb In
12 4 2
Direct
0.049 0.250 0.799 Ti
0.160 0.446 0.286 Ti
0.160 0.875 0.714 Ti
0.299 0.200 0.499 Ti
0.299 0.800 0.099 Ti
0.450 0.250 0.201 Ti
0.550 0.750 0.799 Ti
0.701 0.200 0.901 Ti
0.701 0.800 0.501 Ti
0.840 0.125 0.286 Ti
0.840 0.554 0.714 Ti
0.951 0.750 0.201 Ti
0.170 0.500 0.670 Nb
0.358 0.858 0.500 Nb
0.642 0.142 0.500 Nb
0.830 0.500 0.330 Nb
0.000 0.000 0.000 In
0.500 0.500 0.000 In
```

Results
- crystal system = orthorhombic
- N(E_F) (states/eV/atom) = 1.61
- electronic total energy (eV/atom) = -7.554
- formation energy from the elements (kJ per mole of atoms) = 24.3

(13)
Material: VSb3Pd12
Method: DFT, GGA-PBE
State: optimized geometry

The structure in POSCAR format:
```
VSb3Pd12
1.0
4.021 0.000 0.000
0.000 4.021 0.000
0.000 0.000 16.114
V Sb Pd
1 3 12
Direct
0.000 0.000 0.000 V
0.000 0.000 0.244 Sb
0.000 0.000 0.500 Sb
0.000 0.000 0.756 Sb
0.000 0.500 0.117 Pd
0.000 0.500 0.373 Pd
0.000 0.500 0.627 Pd
0.000 0.500 0.883 Pd
0.500 0.000 0.117 Pd
0.500 0.000 0.373 Pd
0.500 0.000 0.627 Pd
0.500 0.000 0.883 Pd
0.500 0.500 0.000 Pd
0.500 0.500 0.247 Pd
0.500 0.500 0.500 Pd
0.500 0.500 0.753 Pd
```

Results
- crystal system = tetragonal
- N(E_F) (states/eV/atom) = 0.77
- energy relative to the elements, uncorrected (meV per atom) = -329.0
- electronic total energy (eV/atom) = -5.567

(14)
Material: La2Tb2Pm2Nd
Method: DFT, GGA-PBE
State: optimized geometry

The structure in POSCAR format:
```
La2Tb2Pm2Nd
1.0
5.785 -2.583 0.000
5.785 2.583 0.000
-1.140 0.000 8.122
La Tb Pm Nd
2 2 2 1
Direct
0.142 0.142 0.427 La
0.858 0.858 0.573 La
0.429 0.429 0.284 Tb
0.571 0.571 0.716 Tb
0.284 0.284 0.859 Pm
0.716 0.716 0.141 Pm
0.000 0.000 0.000 Nd
```

Results
- crystal system = monoclinic
- N(E_F) (states/eV/atom) = 1.69
- electronic total energy (eV/atom) = -4.747
- formation energy from the elements (kJ per mole of atoms) = 2.1

(15)
Material: Dy2Y3Hg3
Method: DFT, GGA-PBE
State: optimized geometry

The structure in POSCAR format:
```
Dy2Y3Hg3
1.0
-1.866 2.652 11.057
1.866 -2.652 11.057
1.866 2.652 -11.057
Dy Y Hg
2 3 3
Direct
0.232 0.232 0.000 Dy
0.768 0.768 0.000 Dy
0.000 0.000 0.000 Y
0.379 0.879 0.500 Y
0.621 0.121 0.500 Y
0.119 0.619 0.500 Hg
0.500 0.500 0.000 Hg
0.881 0.381 0.500 Hg
```

Results
- crystal system = orthorhombic
- N(E_F) (states/eV/atom) = 1.08
- electronic total energy (eV/atom) = -4.068
- formation energy from the elements (kJ per mole of atoms) = -36.7

(16)
Material: TaInCu2
Method: DFT, GGA-PBE
State: optimized geometry

The structure in POSCAR format:
```
TaInCu2
1.0
0.000 3.191 3.191
3.191 0.000 3.191
3.191 3.191 0.000
Ta In Cu
1 1 2
Direct
0.000 0.000 0.000 Ta
0.750 0.750 0.750 In
0.250 0.250 0.250 Cu
0.500 0.500 0.500 Cu
```

Results
- crystal system = cubic
- N(E_F) (states/eV/atom) = 0.48
- electronic total energy (eV/atom) = -5.297
- formation energy from the elements (kJ per mole of atoms) = 38.5

(17)
Material: Pm2BeGeRh6
Method: DFT, GGA-PBE
State: optimized geometry

The structure in POSCAR format:
```
Pm2BeGeRh6
1.0
-3.135 3.143 4.438
3.135 -3.143 4.438
3.135 3.143 -4.438
Pm Be Ge Rh
2 1 1 6
Direct
0.250 0.250 0.000 Pm
0.750 0.750 0.000 Pm
0.500 0.000 0.500 Be
0.000 0.500 0.500 Ge
0.263 0.237 0.500 Rh
0.263 0.763 0.025 Rh
0.263 0.763 0.500 Rh
0.737 0.237 0.500 Rh
0.737 0.237 0.975 Rh
0.737 0.763 0.500 Rh
```

Results
- crystal system = orthorhombic
- N(E_F) (states/eV/atom) = 0.94
- electronic total energy (eV/atom) = -6.689
- formation energy from the elements (kJ per mole of atoms) = -47.6

(18)
Material: KTe2Pb2
Method: DFT, GGA-PBE
State: optimized geometry

The structure in POSCAR format:
```
KTe2Pb2
1.0
-3.011 3.011 5.407
3.011 -3.011 5.407
3.011 3.011 -5.407
K Te Pb
1 2 2
Direct
0.000 0.000 0.000 K
0.250 0.750 0.500 Te
0.750 0.250 0.500 Te
0.349 0.349 0.000 Pb
0.651 0.651 0.000 Pb
```

Results
- distance to the lowest polymorph of the same formula (eV/atom) = 0.000
- crystal system = tetragonal
- N(E_F) (states/eV/atom) = 0.27
- energy relative to the elements, uncorrected (meV per atom) = -459.8
- electronic total energy (eV/atom) = -3.419

(19)
Material: AsPdSeBr2
Method: DFT, GGA-PBE
State: optimized geometry

The structure in POSCAR format:
```
AsPdSeBr2
1.0
5.056 0.000 0.000
0.000 5.056 0.000
0.000 0.000 5.004
As Pd Se Br
1 1 1 2
Direct
0.000 0.000 0.000 As
0.000 0.000 0.500 Pd
0.500 0.500 0.000 Se
0.000 0.500 0.500 Br
0.500 0.000 0.500 Br
```

Results
- distance to the lowest polymorph of the same formula (eV/atom) = 0.017
- crystal system = tetragonal
- N(E_F) (states/eV/atom) = 0.87
- energy relative to the elements, uncorrected (meV per atom) = 434.2
- electronic total energy (eV/atom) = -2.900

(20)
Material: Rb2TlMoBr6
Method: DFT, GGA-PBE
State: optimized geometry

The structure in POSCAR format:
```
Rb2TlMoBr6
1.0
0.000 5.761 5.761
5.761 0.000 5.761
5.761 5.761 0.000
Rb Tl Mo Br
2 1 1 6
Direct
0.250 0.250 0.250 Rb
0.750 0.750 0.750 Rb
0.000 0.000 0.000 Tl
0.500 0.500 0.500 Mo
0.273 0.273 0.727 Br
0.273 0.727 0.273 Br
0.273 0.727 0.727 Br
0.727 0.273 0.273 Br
0.727 0.273 0.727 Br
0.727 0.727 0.273 Br
```

Results
- distance to the lowest polymorph of the same formula (eV/atom) = 0.009
- crystal system = cubic
- N(E_F) (states/eV/atom) = 0.00
- energy relative to the elements, uncorrected (meV per atom) = -1060.9
- electronic total energy (eV/atom) = -3.578